PrEuDyAl | Alexandria | PBE | relaxed; energy relative to the elements = -0.04 eV per atom
1.0
-3.988 -1.737 -3.345
-1.893 -5.133 0.422
-5.036 -0.913 1.978
Dy Eu Al Pr
1 1 1 1
direct
0.000 0.000 0.000
0.750 0.750 0.750
0.250 0.250 0.250
0.500 0.500 0.500

=====

EuDyScAl | Alexandria | PBE | relaxed; energy relative to the elements = -0.01 eV per atom
1.0
5.270 0.000 0.000
2.635 4.564 0.000
2.635 1.521 4.303
Sc Eu Al Dy
1 1 1 1
direct
0.000 0.000 0.000
0.750 0.750 0.750
0.250 0.250 0.250
0.500 0.500 0.500

=====

EuDyAlSn | Alexandria | PBE | relaxed; energy relative to the elements = -0.43 eV per atom
1.0
-0.016 0.720 5.266
0.697 -4.147 3.251
4.516 -0.482 2.761
Al Sn Eu Dy
1 1 1 1
direct
0.750 0.750 0.750
0.250 0.250 0.250
0.500 0.500 0.500
0.000 0.000 0.000

=====

TbEuDyAl | Alexandria | PBE | relaxed; energy relative to the elements = -0.03 eV per atom
1.0
-2.942 4.498 0.594
-4.747 0.482 -2.545
-4.609 -0.137 2.825
Eu Al Dy Tb
1 1 1 1
direct
0.750 0.750 0.750
0.250 0.250 0.250
0.500 0.500 0.500
0.000 0.000 0.000

=====

EuDyAlTl | Alexandria | PBE | relaxed; energy relative to the elements = -0.29 eV per atom
1.0
-0.055 4.855 -2.279
-4.057 1.408 -3.213
-3.549 3.682 1.617
Al Tl Eu Dy
1 1 1 1
direct
0.500 0.500 0.500
0.000 0.000 0.000
0.250 0.250 0.250
0.750 0.750 0.750

=====

DyAl2F8 | Alexandria | PBE | relaxed; ΔE to the lowest computed polymorph = 0.1813 eV/atom; uncorrected formation energy = -3.28 eV/atom
1.0
4.626 -0.209 -0.158
-0.326 6.026 0.918
-0.326 2.507 5.556
F Dy Al
8 1 2
direct
0.687 0.058 0.621
0.273 0.383 0.383
0.201 0.823 0.823
0.687 0.621 0.058
0.799 0.177 0.177
0.727 0.617 0.617
0.313 0.379 0.942
0.313 0.942 0.379
0.000 0.000 0.000
0.518 0.276 0.276
0.482 0.724 0.724